No. 1
# MgHgPt3 | the Alexandria database | GGA-PBE | optimized geometry
data_MgHgPt3
_symmetry_space_group_name_H-M 'P m -3 m'
_symmetry_Int_Tables_number 221
_symmetry_space_group_name_Hall '-P 4 2 3'
_cell_length_a 4.648
_cell_length_b 4.648
_cell_length_c 4.648
_cell_angle_alpha 90.00
_cell_angle_beta 90.00
_cell_angle_gamma 90.00
loop_
_atom_site_label
_atom_site_fract_x
_atom_site_fract_y
_atom_site_fract_z
Mg1 0.000 0.000 0.000
Hg1 0.500 0.500 0.500
Pt1 0.000 0.000 0.500
# **Calculated volume**: 100.40 Å³/cell
# **DFT total energy**: -3.35 eV/atom
# **ΔE_f**: 0.658 eV per atom
# **Energy above the lowest structure with this stoichiometry**: 0 meV per atom

No. 2
# Mg2HgPt | the Alexandria database | GGA-PBE | optimized geometry
data_Mg2HgPt
_symmetry_space_group_name_H-M 'I m m m'
_symmetry_Int_Tables_number 71
_symmetry_space_group_name_Hall '-I 2 2'
_cell_length_a 3.007
_cell_length_b 4.638
_cell_length_c 13.605
_cell_angle_alpha 90.00
_cell_angle_beta 90.00
_cell_angle_gamma 90.00
loop_
_atom_site_label
_atom_site_fract_x
_atom_site_fract_y
_atom_site_fract_z
Mg1 0.000 0.000 0.191
Hg1 0.000 0.000 0.500
Pt1 0.000 0.000 0.000
# **Calculated volume**: 189.73 Å³/cell
# **DFT total energy**: -2.42 eV/atom
# **ΔE_f**: -0.039 eV per atom

No. 3
# Mg4Hg2Pt | the Alexandria database | GGA-PBE | optimized geometry
data_Mg4Hg2Pt
_symmetry_space_group_name_H-M 'R -3 m'
_symmetry_Int_Tables_number 166
_symmetry_space_group_name_Hall '-R 3 2"'
_cell_length_a 4.7016
_cell_length_b 4.7016
_cell_length_c 22.8624
_cell_angle_alpha 90.00
_cell_angle_beta 90.00
_cell_angle_gamma 120.00
loop_
_atom_site_label
_atom_site_fract_x
_atom_site_fract_y
_atom_site_fract_z
Mg1 0.0000 0.0000 0.1225
Mg2 0.0000 0.0000 0.3700
Hg1 0.0000 0.0000 0.2459
Pt1 0.0000 0.0000 0.0000
# **Calculated volume**: 437.67 Å³/cell
# **DFT total energy**: -2.24 eV/atom
# **ΔE_f**: -0.377 eV per atom